The following is a DFT calculation (PBE) of a relaxed SrLiZr2 crystal.

Structure (CIF):
```
data_SrLiZr2
_chemical_formula_sum 'Sr4 Li4 Zr8'
_symmetry_space_group_name_H-M 'F m -3 m'
_symmetry_Int_Tables_number 225
_symmetry_space_group_name_Hall '-F 4 2 3'
_cell_length_a 7.4385
_cell_length_b 7.4385
_cell_length_c 7.4385
_cell_angle_alpha 90.00
_cell_angle_beta 90.00
_cell_angle_gamma 90.00
loop_
_atom_site_label
_atom_site_fract_x
_atom_site_fract_y
_atom_site_fract_z
Sr1 0.0000 0.0000 0.0000
Li1 0.0000 0.0000 0.5000
Zr1 0.2500 0.2500 0.2500
```

Values from the calculation:
Its formation energy is 0.788 eV per atom.